Model i:
# PBE-GGA Pr8CoPd2, optimized geometry
data_Pr8CoPd2
_space_group_name_H-M_alt 'C 1 2/m 1'
_space_group_IT_number 12
_space_group_name_Hall '-C 2y'
_cell_length_a 17.804
_cell_length_b 5.116
_cell_length_c 7.085
_cell_angle_alpha 90.00
_cell_angle_beta 98.22
_cell_angle_gamma 90.00
loop_
_atom_site_label
_atom_site_type_symbol
_atom_site_fract_x
_atom_site_fract_y
_atom_site_fract_z
_atom_site_occupancy
Pr1 Pr 0.027 0.000 0.282 1
Pr2 Pr 0.089 0.500 0.948 1
Pr3 Pr 0.158 0.500 0.474 1
Pr4 Pr 0.205 0.000 0.835 1
Co1 Co 0.000 0.500 0.500 1
Pd1 Pd 0.199 0.000 0.244 1
# **DOS(E_F)**: 12.9 states/eV/f.u.
# **V**: 319 Å³/f.u.
# **Total magnetic moment**: 0.00 Bohr magnetons per cell



Model ii:
# PBE-GGA Pr8CoPd2, optimized geometry
data_Pr8CoPd2
_space_group_name_H-M_alt 'C 1 2/m 1'
_space_group_IT_number 12
_space_group_name_Hall '-C 2y'
_cell_length_a 18.915
_cell_length_b 3.980
_cell_length_c 8.983
_cell_angle_alpha 90.00
_cell_angle_beta 94.38
_cell_angle_gamma 90.00
loop_
_atom_site_label
_atom_site_type_symbol
_atom_site_fract_x
_atom_site_fract_y
_atom_site_fract_z
_atom_site_occupancy
Pr1 Pr 0.007 0.000 0.205 1
Pr2 Pr 0.094 0.500 0.530 1
Pr3 Pr 0.152 0.500 0.985 1
Pr4 Pr 0.220 0.000 0.336 1
Co1 Co 0.000 0.500 0.000 1
Pd1 Pd 0.170 0.000 0.741 1
# **DOS(E_F)**: 11.9 states/eV/f.u.
# **V**: 337 Å³/f.u.
# **Total magnetic moment**: 0.00 Bohr magnetons per cell



It is model i that is the least stable of them.



Model i:
# PBE-GGA Pr4CoPd, optimized geometry
data_Pr4CoPd
_space_group_name_H-M_alt 'C 1 2/c 1'
_space_group_IT_number 15
_space_group_name_Hall '-C 2yc'
_cell_length_a 8.639
_cell_length_b 12.388
_cell_length_c 6.440
_cell_angle_alpha 90.00
_cell_angle_beta 103.32
_cell_angle_gamma 90.00
loop_
_atom_site_label
_atom_site_type_symbol
_atom_site_fract_x
_atom_site_fract_y
_atom_site_fract_z
_atom_site_occupancy
Pr1 Pr 0.101 0.165 0.027 1
Pr2 Pr 0.190 0.418 0.431 1
Co1 Co 0.000 0.001 0.250 1
Pd1 Pd 0.000 0.374 0.750 1
# **DOS(E_F)**: 7.0 states/eV/f.u.
# **V**: 168 Å³/f.u.
# **Total magnetic moment**: 0.00 Bohr magnetons per cell



Model ii:
# PBE-GGA Pr4CoPd, optimized geometry
data_Pr4CoPd
_space_group_name_H-M_alt 'C 1 2/c 1'
_space_group_IT_number 15
_space_group_name_Hall '-C 2yc'
_cell_length_a 9.138
_cell_length_b 14.438
_cell_length_c 6.960
_cell_angle_alpha 90.00
_cell_angle_beta 128.92
_cell_angle_gamma 90.00
loop_
_atom_site_label
_atom_site_type_symbol
_atom_site_fract_x
_atom_site_fract_y
_atom_site_fract_z
_atom_site_occupancy
Pr1 Pr 0.165 0.215 0.164 1
Pr2 Pr 0.244 0.035 0.745 1
Co1 Co 0.000 0.089 0.250 1
Pd1 Pd 0.000 0.377 0.750 1
# **DOS(E_F)**: 6.7 states/eV/f.u.
# **V**: 179 Å³/f.u.
# **Total magnetic moment**: 0.00 Bohr magnetons per cell



It is model ii that is the least stable of them.



Model i:
# PBE-GGA CoPd3Pt, optimized geometry
data_CoPd3Pt
_space_group_name_H-M_alt 'C 1 2/m 1'
_space_group_IT_number 12
_space_group_name_Hall '-C 2y'
_cell_length_a 7.803
_cell_length_b 7.976
_cell_length_c 5.493
_cell_angle_alpha 90.00
_cell_angle_beta 110.94
_cell_angle_gamma 90.00
loop_
_atom_site_label
_atom_site_type_symbol
_atom_site_fract_x
_atom_site_fract_y
_atom_site_fract_z
_atom_site_occupancy
Co1 Co 0.235 0.000 0.496 1
Pd1 Pd 0.070 0.500 0.788 1
Pd2 Pd 0.175 0.252 0.201 1
Pt1 Pt 0.081 0.000 0.813 1
# **DOS(E_F)**: 7.4 states/eV/f.u.
# **V**: 80 Å³/f.u.
# **Total magnetic moment**: 13.84 Bohr magnetons per cell



Model ii:
# PBE-GGA CoPd3Pt, optimized geometry
data_CoPd3Pt
_space_group_name_H-M_alt 'C 1 2/c 1'
_space_group_IT_number 15
_space_group_name_Hall '-C 2yc'
_cell_length_a 7.058
_cell_length_b 12.311
_cell_length_c 4.530
_cell_angle_alpha 90.00
_cell_angle_beta 129.82
_cell_angle_gamma 90.00
loop_
_atom_site_label
_atom_site_type_symbol
_atom_site_fract_x
_atom_site_fract_y
_atom_site_fract_z
_atom_site_occupancy
Co1 Co 0.000 0.059 0.250 1
Pd1 Pd 0.000 0.437 0.250 1
Pd2 Pd 0.244 0.130 0.994 1
Pt1 Pt 0.250 0.250 0.500 1
# **DOS(E_F)**: 6.5 states/eV/f.u.
# **V**: 76 Å³/f.u.
# **Total magnetic moment**: 12.79 Bohr magnetons per cell



Model iii:
# PBE-GGA CoPd3Pt, optimized geometry
data_CoPd3Pt
_space_group_name_H-M_alt 'P m -3 m'
_space_group_IT_number 221
_space_group_name_Hall '-P 4 2 3'
_cell_length_a 4.485
_cell_length_b 4.485
_cell_length_c 4.485
_cell_angle_alpha 90.00
_cell_angle_beta 90.00
_cell_angle_gamma 90.00
loop_
_atom_site_label
_atom_site_type_symbol
_atom_site_fract_x
_atom_site_fract_y
_atom_site_fract_z
_atom_site_occupancy
Co1 Co 0.000 0.000 0.000 1
Pd1 Pd 0.000 0.000 0.500 1
Pt1 Pt 0.500 0.500 0.500 1
# **DOS(E_F)**: 5.9 states/eV/f.u.
# **V**: 90 Å³/f.u.
# **Total magnetic moment**: 2.83 Bohr magnetons per cell



It is model iii that is the least stable of them.



Model i:
# PBE-GGA CoPd6Pt2, optimized geometry
data_CoPd6Pt2
_space_group_name_H-M_alt 'P -6 m 2'
_space_group_IT_number 187
_space_group_name_Hall 'P -6 2'
_cell_length_a 2.7517
_cell_length_b 2.7517
_cell_length_c 20.8666
_cell_angle_alpha 90.00
_cell_angle_beta 90.00
_cell_angle_gamma 120.00
loop_
_atom_site_label
_atom_site_type_symbol
_atom_site_fract_x
_atom_site_fract_y
_atom_site_fract_z
_atom_site_occupancy
Co1 Co 0.0000 0.0000 0.0000 1
Pd1 Pd 0.0000 0.0000 0.2108 1
Pd2 Pd 0.0000 0.0000 0.4379 1
Pd3 Pd 0.3333 0.6667 0.0984 1
Pt1 Pt 0.3333 0.6667 0.3246 1
# **DOS(E_F)**: 16.7 states/eV/f.u.
# **V**: 137 Å³/f.u.
# **Total magnetic moment**: 3.61 Bohr magnetons per cell



Model ii:
# PBE-GGA CoPd6Pt2, optimized geometry
data_CoPd6Pt2
_space_group_name_H-M_alt 'C 1 2/m 1'
_space_group_IT_number 12
_space_group_name_Hall '-C 2y'
_cell_length_a 7.272
_cell_length_b 4.663
_cell_length_c 8.170
_cell_angle_alpha 90.00
_cell_angle_beta 98.94
_cell_angle_gamma 90.00
loop_
_atom_site_label
_atom_site_type_symbol
_atom_site_fract_x
_atom_site_fract_y
_atom_site_fract_z
_atom_site_occupancy
Co1 Co 0.000 0.000 0.000 1
Pd1 Pd 0.001 0.000 0.325 1
Pd2 Pd 0.168 0.500 0.104 1
Pd3 Pd 0.169 0.500 0.779 1
Pt1 Pt 0.168 0.500 0.443 1
# **DOS(E_F)**: 11.5 states/eV/f.u.
# **V**: 137 Å³/f.u.
# **Total magnetic moment**: 7.03 Bohr magnetons per cell



It is model ii that is the least stable of them.



Model i:
# PBE-GGA Co3PdPt, optimized geometry
data_Co3PdPt
_space_group_name_H-M_alt 'P m -3 m'
_space_group_IT_number 221
_space_group_name_Hall '-P 4 2 3'
_cell_length_a 4.568
_cell_length_b 4.568
_cell_length_c 4.568
_cell_angle_alpha 90.00
_cell_angle_beta 90.00
_cell_angle_gamma 90.00
loop_
_atom_site_label
_atom_site_type_symbol
_atom_site_fract_x
_atom_site_fract_y
_atom_site_fract_z
_atom_site_occupancy
Co1 Co 0.000 0.000 0.500 1
Pd1 Pd 0.500 0.500 0.500 1
Pt1 Pt 0.000 0.000 0.000 1
# **DOS(E_F)**: 11.8 states/eV/f.u.
# **V**: 95 Å³/f.u.
# **Total magnetic moment**: 6.92 Bohr magnetons per cell



Model ii:
# PBE-GGA Co3PdPt, optimized geometry
data_Co3PdPt
_space_group_name_H-M_alt 'R -3 m'
_space_group_IT_number 166
_space_group_name_Hall '-R 3 2"'
_cell_length_a 4.8984
_cell_length_b 4.8984
_cell_length_c 19.0172
_cell_angle_alpha 90.00
_cell_angle_beta 90.00
_cell_angle_gamma 120.00
loop_
_atom_site_label
_atom_site_type_symbol
_atom_site_fract_x
_atom_site_fract_y
_atom_site_fract_z
_atom_site_occupancy
Co1 Co 0.0082 0.5041 0.3826 1
Pd1 Pd 0.0000 0.0000 0.1640 1
Pt1 Pt 0.0000 0.0000 0.4295 1
# **DOS(E_F)**: 5.4 states/eV/f.u.
# **V**: 66 Å³/f.u.
# **Total magnetic moment**: 37.33 Bohr magnetons per cell



Model iii:
# PBE-GGA Co3PdPt, optimized geometry
data_Co3PdPt
_space_group_name_H-M_alt 'P 1 21/m 1'
_space_group_IT_number 11
_space_group_name_Hall '-P 2yb'
_cell_length_a 4.207
_cell_length_b 5.247
_cell_length_c 6.420
_cell_angle_alpha 90.00
_cell_angle_beta 109.19
_cell_angle_gamma 90.00
loop_
_atom_site_label
_atom_site_type_symbol
_atom_site_fract_x
_atom_site_fract_y
_atom_site_fract_z
_atom_site_occupancy
Co1 Co 0.136 0.250 0.270 1
Co2 Co 0.308 0.000 0.616 1
Pd1 Pd 0.491 0.750 0.985 1
Pt1 Pt 0.127 0.750 0.255 1
# **DOS(E_F)**: 5.5 states/eV/f.u.
# **V**: 67 Å³/f.u.
# **Total magnetic moment**: 12.24 Bohr magnetons per cell



It is model i that is the least stable of them.



Model i:
# PBE-GGA CoPd4Pt2, optimized geometry
data_CoPd4Pt2
_space_group_name_H-M_alt 'I -4 2 d'
_space_group_IT_number 122
_space_group_name_Hall 'I -4 2bw'
_cell_length_a 7.643
_cell_length_b 7.643
_cell_length_c 7.674
_cell_angle_alpha 90.00
_cell_angle_beta 90.00
_cell_angle_gamma 90.00
loop_
_atom_site_label
_atom_site_type_symbol
_atom_site_fract_x
_atom_site_fract_y
_atom_site_fract_z
_atom_site_occupancy
Co1 Co 0.000 0.000 0.000 1
Pd1 Pd 0.077 0.679 0.966 1
Pt1 Pt 0.115 0.750 0.625 1
# **DOS(E_F)**: 9.9 states/eV/f.u.
# **V**: 112 Å³/f.u.
# **Total magnetic moment**: 12.05 Bohr magnetons per cell



Model ii:
# PBE-GGA CoPd4Pt2, optimized geometry
data_CoPd4Pt2
_space_group_name_H-M_alt 'P 1 2/m 1'
_space_group_IT_number 10
_space_group_name_Hall '-P 2y'
_cell_length_a 6.497
_cell_length_b 2.728
_cell_length_c 6.626
_cell_angle_alpha 90.00
_cell_angle_beta 114.85
_cell_angle_gamma 90.00
loop_
_atom_site_label
_atom_site_type_symbol
_atom_site_fract_x
_atom_site_fract_y
_atom_site_fract_z
_atom_site_occupancy
Co1 Co 0.000 0.000 0.000 1
Pd1 Pd 0.275 0.000 0.448 1
Pd2 Pd 0.412 0.500 0.161 1
Pt1 Pt 0.130 0.500 0.733 1
# **DOS(E_F)**: 11.3 states/eV/f.u.
# **V**: 107 Å³/f.u.
# **Total magnetic moment**: 3.83 Bohr magnetons per cell



It is model i that is the least stable of them.



Model i:
# PBE-GGA CoPd6Pt, optimized geometry
data_CoPd6Pt
_space_group_name_H-M_alt 'C 1 2/m 1'
_space_group_IT_number 12
_space_group_name_Hall '-C 2y'
_cell_length_a 8.753
_cell_length_b 3.900
_cell_length_c 7.840
_cell_angle_alpha 90.00
_cell_angle_beta 116.70
_cell_angle_gamma 90.00
loop_
_atom_site_label
_atom_site_type_symbol
_atom_site_fract_x
_atom_site_fract_y
_atom_site_fract_z
_atom_site_occupancy
Co1 Co 0.000 0.000 0.000 1
Pd1 Pd 0.001 0.500 0.243 1
Pd2 Pd 0.249 0.000 0.370 1
Pd3 Pd 0.249 0.500 0.121 1
Pt1 Pt 0.000 0.000 0.500 1
# **DOS(E_F)**: 10.5 states/eV/f.u.
# **V**: 120 Å³/f.u.
# **Total magnetic moment**: 8.94 Bohr magnetons per cell



Model ii:
# PBE-GGA CoPd6Pt, optimized geometry
data_CoPd6Pt
_space_group_name_H-M_alt 'P -1'
_space_group_IT_number 2
_space_group_name_Hall '-P 1'
_cell_length_a 4.967
_cell_length_b 4.987
_cell_length_c 5.002
_cell_angle_alpha 90.66
_cell_angle_beta 90.45
_cell_angle_gamma 91.32
loop_
_atom_site_label
_atom_site_type_symbol
_atom_site_fract_x
_atom_site_fract_y
_atom_site_fract_z
_atom_site_occupancy
Co1 Co 0.000 0.000 0.000 1
Pd1 Pd 0.008 0.535 0.751 1
Pd2 Pd 0.249 0.986 0.459 1
Pd3 Pd 0.468 0.249 0.986 1
Pt1 Pt 0.500 0.500 0.500 1
# **DOS(E_F)**: 13.9 states/eV/f.u.
# **V**: 124 Å³/f.u.
# **Total magnetic moment**: 3.65 Bohr magnetons per cell



It is model ii that is the least stable of them.



Model i:
# PBE-GGA Co2Pd8Pt, optimized geometry
data_Co2Pd8Pt
_space_group_name_H-M_alt 'C 1 2/m 1'
_space_group_IT_number 12
_space_group_name_Hall '-C 2y'
_cell_length_a 14.019
_cell_length_b 3.887
_cell_length_c 6.160
_cell_angle_alpha 90.00
_cell_angle_beta 105.33
_cell_angle_gamma 90.00
loop_
_atom_site_label
_atom_site_type_symbol
_atom_site_fract_x
_atom_site_fract_y
_atom_site_fract_z
_atom_site_occupancy
Co1 Co 0.229 0.000 0.126 1
Pd1 Pd 0.049 0.000 0.229 1
Pd2 Pd 0.098 0.500 0.961 1
Pd3 Pd 0.142 0.000 0.698 1
Pd4 Pd 0.184 0.500 0.414 1
Pt1 Pt 0.000 0.500 0.500 1
# **DOS(E_F)**: 12.4 states/eV/f.u.
# **V**: 162 Å³/f.u.
# **Total magnetic moment**: 14.03 Bohr magnetons per cell



Model ii:
# PBE-GGA Co2Pd8Pt, optimized geometry
data_Co2Pd8Pt
_space_group_name_H-M_alt 'C 1 m 1'
_space_group_IT_number 8
_space_group_name_Hall 'C -2y'
_cell_length_a 18.219
_cell_length_b 2.774
_cell_length_c 7.088
_cell_angle_alpha 90.00
_cell_angle_beta 109.93
_cell_angle_gamma 90.00
loop_
_atom_site_label
_atom_site_type_symbol
_atom_site_fract_x
_atom_site_fract_y
_atom_site_fract_z
_atom_site_occupancy
Co1 Co 0.000 0.000 0.000 1
Co2 Co 0.125 0.500 0.613 1
Pd1 Pd 0.010 0.000 0.645 1
Pd2 Pd 0.115 0.500 0.968 1
Pd3 Pd 0.132 0.000 0.314 1
Pd4 Pd 0.231 0.000 0.883 1
Pd5 Pd 0.259 0.500 0.565 1
Pd6 Pd 0.367 0.500 0.050 1
Pd7 Pd 0.394 0.000 0.731 1
Pd8 Pd 0.494 0.000 0.300 1
Pt1 Pt 0.312 0.000 0.307 1
# **DOS(E_F)**: 11.8 states/eV/f.u.
# **V**: 168 Å³/f.u.
# **Total magnetic moment**: 14.01 Bohr magnetons per cell



It is model ii that is the least stable of them.



Model i:
# PBE-GGA CoPd4Pt, optimized geometry
data_CoPd4Pt
_space_group_name_H-M_alt 'P -1'
_space_group_IT_number 2
_space_group_name_Hall '-P 1'
_cell_length_a 2.755
_cell_length_b 7.249
_cell_length_c 9.628
_cell_angle_alpha 70.86
_cell_angle_beta 89.93
_cell_angle_gamma 79.10
loop_
_atom_site_label
_atom_site_type_symbol
_atom_site_fract_x
_atom_site_fract_y
_atom_site_fract_z
_atom_site_occupancy
Co1 Co 0.200 0.102 0.388 1
Pd1 Pd 0.146 0.208 0.620 1
Pd2 Pd 0.251 0.000 0.130 1
Pd3 Pd 0.413 0.673 0.866 1
Pd4 Pd 0.466 0.565 0.622 1
Pt1 Pt 0.081 0.334 0.873 1
# **DOS(E_F)**: 8.3 states/eV/f.u.
# **V**: 89 Å³/f.u.
# **Total magnetic moment**: 7.18 Bohr magnetons per cell



Model ii:
# PBE-GGA CoPd4Pt, optimized geometry
data_CoPd4Pt
_space_group_name_H-M_alt 'C 1 2/m 1'
_space_group_IT_number 12
_space_group_name_Hall '-C 2y'
_cell_length_a 4.784
_cell_length_b 8.269
_cell_length_c 4.773
_cell_angle_alpha 90.00
_cell_angle_beta 109.59
_cell_angle_gamma 90.00
loop_
_atom_site_label
_atom_site_type_symbol
_atom_site_fract_x
_atom_site_fract_y
_atom_site_fract_z
_atom_site_occupancy
Co1 Co 0.000 0.000 0.000 1
Pd1 Pd 0.000 0.163 0.500 1
Pd2 Pd 0.000 0.334 0.000 1
Pt1 Pt 0.000 0.500 0.500 1
# **DOS(E_F)**: 7.1 states/eV/f.u.
# **V**: 89 Å³/f.u.
# **Total magnetic moment**: 7.92 Bohr magnetons per cell



It is model i that is the least stable of them.



Model i:
# PBE-GGA Co2PdPt2, optimized geometry
data_Co2PdPt2
_space_group_name_H-M_alt 'P 4/m b m'
_space_group_IT_number 127
_space_group_name_Hall '-P 4 2ab'
_cell_length_a 7.329
_cell_length_b 7.329
_cell_length_c 2.724
_cell_angle_alpha 90.00
_cell_angle_beta 90.00
_cell_angle_gamma 90.00
loop_
_atom_site_label
_atom_site_type_symbol
_atom_site_fract_x
_atom_site_fract_y
_atom_site_fract_z
_atom_site_occupancy
Co1 Co 0.166 0.334 0.000 1
Pd1 Pd 0.000 0.000 0.500 1
Pt1 Pt 0.132 0.632 0.500 1
# **DOS(E_F)**: 7.7 states/eV/f.u.
# **V**: 73 Å³/f.u.
# **Total magnetic moment**: 10.48 Bohr magnetons per cell



Model ii:
# PBE-GGA Co2PdPt2, optimized geometry
data_Co2PdPt2
_space_group_name_H-M_alt 'C 1 2/m 1'
_space_group_IT_number 12
_space_group_name_Hall '-C 2y'
_cell_length_a 8.508
_cell_length_b 3.837
_cell_length_c 5.976
_cell_angle_alpha 90.00
_cell_angle_beta 134.38
_cell_angle_gamma 90.00
loop_
_atom_site_label
_atom_site_type_symbol
_atom_site_fract_x
_atom_site_fract_y
_atom_site_fract_z
_atom_site_occupancy
Co1 Co 0.097 0.000 0.293 1
Pd1 Pd 0.000 0.500 0.500 1
Pt1 Pt 0.201 0.500 0.114 1
# **DOS(E_F)**: 5.2 states/eV/f.u.
# **V**: 70 Å³/f.u.
# **Total magnetic moment**: 9.74 Bohr magnetons per cell



It is model i that is the least stable of them.